Entry 1:
Th3Al2Os2C3 after structural relaxation, computed with PBE.

Cell and atoms, written as POSCAR:
```
Th3Al2Os2C3
1.0
-3.6611 0.0117 -1.2857
-1.0468 -2.2800 2.9601
0.0206 10.9476 5.8964
C Al Th Os
3 2 3 2
Direct
0.5000 0.5000 0.0000
0.1015 0.1015 0.2030
0.8985 0.8985 0.7970
0.2500 0.7500 0.5000
0.7500 0.2500 0.5000
0.0000 0.0000 0.0000
0.3901 0.3901 0.7802
0.6099 0.6099 0.2198
0.8182 0.8182 0.6363
0.1818 0.1818 0.3637
```



Entry 2:
YAlOs2C after structural relaxation, computed with PBE.

Cell and atoms, written as POSCAR:
```
YAlOs2C
1.0
3.9931 0.0000 0.0000
-1.9966 5.5364 0.0000
0.0000 0.0000 7.2564
Os C Y Al
4 2 2 2
Direct
0.8343 0.6685 0.0608
0.1657 0.3315 0.5608
0.8343 0.6685 0.4392
0.1657 0.3315 0.9392
0.0000 0.0000 0.0000
0.0000 0.0000 0.5000
0.5491 0.0983 0.2500
0.4509 0.9017 0.7500
0.2697 0.5394 0.2500
0.7303 0.4606 0.7500
```



Entry 3:
Y2Al2Os2C after structural relaxation, computed with PBE.

Cell and atoms, written as POSCAR:
```
Y2Al2Os2C
1.0
4.1462 0.0000 0.0000
2.0731 5.5952 -0.4726
2.0731 1.5961 5.3979
C Al Y Os
1 2 2 2
Direct
0.0000 0.0000 0.0000
0.1533 0.3934 0.3001
0.8467 0.6066 0.6999
0.5613 0.1672 0.7103
0.4387 0.8328 0.2897
0.8007 0.3030 0.0956
0.1993 0.6970 0.9044
```



Entry 4:
Al2PC after structural relaxation, computed with PBE.

Properties
The calculation puts the energy above the most stable polymorph in this dataset at 0.931 eV per atom.

Cell and atoms, written as POSCAR:
```
Al2PC
1.0
0.0000 2.9448 2.9448
2.9448 0.0000 2.9448
2.9448 2.9448 0.0000
Al P C
2 1 1
Direct
0.2500 0.2500 0.2500
0.7500 0.7500 0.7500
0.5000 0.5000 0.5000
0.0000 0.0000 0.0000
```



Entry 5:
AlP3C after structural relaxation, computed with PBE.

Properties
The calculation puts the energy above the most stable polymorph in this dataset at 1.024 eV per atom.

Cell and atoms, written as POSCAR:
```
AlP3C
1.0
4.5632 0.0000 0.0000
0.0000 4.5632 0.0000
0.0000 0.0000 4.5632
P Al C
3 1 1
Direct
0.5000 0.0000 0.0000
0.0000 0.5000 0.0000
0.0000 0.0000 0.5000
0.0000 0.0000 0.0000
0.5000 0.5000 0.5000
```



Entry 6:
AlPC2 after structural relaxation, computed with PBE.

Properties
The calculation puts the energy above the most stable polymorph in this dataset at 0.000 eV per atom.

Cell and atoms, written as POSCAR:
```
AlPC2
1.0
4.4830 0.0000 0.0000
0.0000 4.4830 0.0000
2.2415 2.2415 4.2364
C Al P
4 2 2
Direct
0.3750 0.3330 0.7500
0.8750 0.9170 0.7500
0.6670 0.1250 0.2500
0.0830 0.6250 0.2500
0.2500 0.7500 0.5000
0.5000 0.5000 0.0000
0.0000 0.0000 0.0000
0.7500 0.2500 0.5000
```



Entry 7:
AlPC3 after structural relaxation, computed with PBE.

Properties
The calculation puts the energy above the most stable polymorph in this dataset at 0.732 eV per atom.

Cell and atoms, written as POSCAR:
```
AlPC3
1.0
-3.6677 1.2456 -0.6842
-0.7767 -0.1712 3.8521
1.1901 3.7270 0.4056
Al C P
1 3 1
Direct
0.0000 0.0000 0.0000
0.0000 0.5000 0.0000
0.5000 0.0000 0.0000
0.0000 0.0000 0.5000
0.5000 0.5000 0.5000
```



Entry 8:
Al3PC after structural relaxation, computed with PBE.

Cell and atoms, written as POSCAR:
```
Al3PC
1.0
4.1088 0.0000 0.0000
0.0000 4.1088 0.0000
0.0000 0.0000 4.1088
Al P C
3 1 1
Direct
0.5000 0.0000 0.0000
0.0000 0.0000 0.5000
0.0000 0.5000 0.0000
0.5000 0.5000 0.5000
0.0000 0.0000 0.0000
```



Entry 9:
Al2PC after structural relaxation, computed with PBE.

Properties
The calculation puts the energy above the most stable polymorph in this dataset at 0.000 eV per atom.

Cell and atoms, written as POSCAR:
```
Al2PC
1.0
-0.5794 -0.5857 -5.1004
-4.7513 -1.8832 0.7560
-4.4671 3.1896 -2.4756
Al P C
4 2 2
Direct
0.8750 0.8017 0.7500
0.1983 0.6250 0.2500
0.3750 0.4483 0.7500
0.5517 0.1250 0.2500
0.7500 0.2500 0.5000
0.0000 0.0000 0.0000
0.5000 0.5000 0.0000
0.2500 0.7500 0.5000
```



Entry 10:
AlPC2 after structural relaxation, computed with PBE.

Properties
The calculation puts the energy above the most stable polymorph in this dataset at 1.884 eV per atom.

Cell and atoms, written as POSCAR:
```
AlPC2
1.0
0.0000 2.6971 2.6971
2.6971 0.0000 2.6971
2.6971 2.6971 0.0000
P C Al
1 2 1
Direct
0.5000 0.5000 0.5000
0.2500 0.2500 0.2500
0.7500 0.7500 0.7500
0.0000 0.0000 0.0000
```



Entry 11:
Al3PC after structural relaxation, computed with PBE.

Cell and atoms, written as POSCAR:
```
Al3PC
1.0
4.5823 0.0000 0.0000
0.0000 4.5823 0.0000
0.0000 0.0000 4.5823
C Al P
1 3 1
Direct
0.5000 0.5000 0.5000
0.5000 0.0000 0.0000
0.0000 0.5000 0.0000
0.0000 0.0000 0.5000
0.0000 0.0000 0.0000
```



Entry 12:
AlPC3 after structural relaxation, computed with PBE.

Properties
The calculation puts the energy above the most stable polymorph in this dataset at 0.000 eV per atom.

Cell and atoms, written as POSCAR:
```
AlPC3
1.0
3.6511 0.0000 0.0000
0.0000 3.6511 0.0000
0.0000 0.0000 3.6511
Al P C
1 1 3
Direct
0.5000 0.5000 0.5000
0.0000 0.0000 0.0000
0.0000 0.5000 0.0000
0.5000 0.0000 0.0000
0.0000 0.0000 0.5000
```



Entry 13:
AlP3C after structural relaxation, computed with PBE.

Properties
The calculation puts the energy above the most stable polymorph in this dataset at 0.000 eV per atom.

Cell and atoms, written as POSCAR:
```
AlP3C
1.0
-1.0974 -3.5459 1.6559
2.2013 -1.9812 -2.7837
3.2357 0.1452 2.4553
P C Al
3 1 1
Direct
0.0000 0.5000 0.0000
0.0000 0.0000 0.5000
0.5000 0.0000 0.0000
0.0000 0.0000 0.0000
0.5000 0.5000 0.5000
```



Entry 14:
AlRe2PC after structural relaxation, computed with PBE.

Cell and atoms, written as POSCAR:
```
AlRe2PC
1.0
-3.6478 -1.9597 0.4663
0.6841 -0.4018 3.6629
-1.8653 3.6502 0.7488
Re P Al C
2 1 1 1
Direct
0.5000 0.0000 0.0000
0.0000 0.0000 0.5000
0.5000 0.5000 0.5000
0.0000 0.5000 0.0000
0.0000 0.0000 0.0000
```



Entry 15:
AlZnPC2 after structural relaxation, computed with PBE.

Cell and atoms, written as POSCAR:
```
AlZnPC2
1.0
-2.3084 -2.6496 0.7708
2.3346 -3.0619 -3.5335
2.2431 -1.2164 2.5361
C Al Zn P
2 1 1 1
Direct
0.5000 0.0000 0.0000
0.0000 0.0000 0.5000
0.5000 0.5000 0.5000
0.0000 0.5000 0.0000
0.0000 0.0000 0.0000
```



Entry 16:
Pa3AlC after structural relaxation, computed with PBE.

Cell and atoms, written as POSCAR:
```
Pa3AlC
1.0
4.7555 0.0000 0.0000
0.0000 4.7555 0.0000
0.0000 0.0000 4.7555
Al Pa C
1 3 1
Direct
0.5000 0.5000 0.5000
0.5000 0.0000 0.0000
0.0000 0.0000 0.5000
0.0000 0.5000 0.0000
0.0000 0.0000 0.0000
```



Entry 17:
Pa6Al2C after structural relaxation, computed with PBE.

Cell and atoms, written as POSCAR:
```
Pa6Al2C
1.0
-0.5736 -6.1848 -1.0034
3.1186 -1.1557 5.3411
-8.5002 -0.0163 4.9596
Al C Pa
4 2 12
Direct
0.5001 0.0000 0.7500
0.0001 0.5000 0.2500
0.9999 0.5000 0.7500
0.4999 0.0000 0.2500
0.5000 0.5000 0.0000
0.0000 0.0000 0.5000
0.7702 0.7705 0.0000
0.7705 0.2298 0.0000
0.2298 0.2295 0.0000
0.2295 0.7702 0.0000
0.7298 0.2705 0.5000
0.2705 0.2702 0.5000
0.7295 0.7298 0.5000
0.9999 0.0001 0.2609
0.2702 0.7295 0.5000
0.4999 0.4999 0.7609
0.0001 0.9999 0.7391
0.5001 0.5001 0.2391
```



Entry 18:
UPa2AlC4 after structural relaxation, computed with PBE.

Cell and atoms, written as POSCAR:
```
UPa2AlC4
1.0
3.5338 0.0000 0.0000
-1.7669 5.7811 0.0000
0.0000 0.0000 11.9566
Pa C Al U
4 8 2 2
Direct
0.3693 0.7385 0.5516
0.6307 0.2615 0.4484
0.3693 0.7385 0.9484
0.6307 0.2615 0.0516
0.7305 0.4610 0.6248
0.2695 0.5390 0.1248
0.4491 0.8982 0.7500
0.5509 0.1018 0.2500
0.0000 0.0000 0.0000
0.0000 0.0000 0.5000
0.2695 0.5390 0.3752
0.7305 0.4610 0.8752
0.8441 0.6881 0.7500
0.1559 0.3119 0.2500
0.8928 0.7857 0.2500
0.1072 0.2143 0.7500
```



Entry 19:
Zr2PaAlC4 after structural relaxation, computed with PBE.

Cell and atoms, written as POSCAR:
```
Zr2PaAlC4
1.0
3.3589 0.0000 0.0000
-1.6795 5.6044 0.0000
0.0000 0.0000 11.4879
Zr Al C Pa
4 2 8 2
Direct
0.3680 0.7359 0.5457
0.6320 0.2641 0.0457
0.6320 0.2641 0.4543
0.3680 0.7359 0.9543
0.1494 0.2989 0.2500
0.8506 0.7011 0.7500
0.5455 0.0909 0.2500
0.4545 0.9091 0.7500
0.0000 0.0000 0.0000
0.7309 0.4617 0.6237
0.2691 0.5383 0.3763
0.7309 0.4617 0.8763
0.0000 0.0000 0.5000
0.2691 0.5383 0.1237
0.1143 0.2286 0.7500
0.8857 0.7714 0.2500
```



Entry 20:
Al2PbC after structural relaxation, computed with PBE.

Cell and atoms, written as POSCAR:
```
Al2PbC
1.0
3.2383 -2.3709 -2.4238
1.4098 -4.2206 1.4772
-1.2120 -3.8462 -2.3918
C Al Pb
1 2 1
Direct
0.0000 0.0000 0.0000
0.2500 0.2500 0.2500
0.7500 0.7500 0.7500
0.5000 0.5000 0.5000
```



Entry 21:
AlPbC3 after structural relaxation, computed with PBE.

Properties
The calculation puts the energy above the most stable polymorph in this dataset at 1.228 eV per atom.

Cell and atoms, written as POSCAR:
```
AlPbC3
1.0
-0.8731 -3.1160 -3.0730
-1.9548 -2.5259 3.1166
-3.9155 1.9559 -0.8708
Pb C Al
1 3 1
Direct
0.0000 0.0000 0.0000
0.5000 0.0000 0.0000
0.0000 0.5000 0.0000
0.0000 0.0000 0.5000
0.5000 0.5000 0.5000
```



Entry 22:
AlPb2C after structural relaxation, computed with PBE.

Properties
The calculation puts the energy above the most stable polymorph in this dataset at 0.000 eV per atom.

Cell and atoms, written as POSCAR:
```
AlPb2C
1.0
6.1081 0.0000 0.0000
0.0000 6.1081 0.0000
3.0540 3.0540 5.5459
Pb C Al
4 2 2
Direct
0.3750 0.4370 0.7500
0.8750 0.8130 0.7500
0.1870 0.6250 0.2500
0.5630 0.1250 0.2500
0.5000 0.5000 0.0000
0.2500 0.7500 0.5000
0.7500 0.2500 0.5000
0.0000 0.0000 0.0000
```



Entry 23:
AlPb2C after structural relaxation, computed with PBE.

Properties
The calculation puts the energy above the most stable polymorph in this dataset at 0.374 eV per atom.

Cell and atoms, written as POSCAR:
```
AlPb2C
1.0
0.0000 3.5209 3.5209
3.5209 0.0000 3.5209
3.5209 3.5209 0.0000
Al C Pb
1 1 2
Direct
0.5000 0.5000 0.5000
0.0000 0.0000 0.0000
0.7500 0.7500 0.7500
0.2500 0.2500 0.2500
```



Entry 24:
AlPbC3 after structural relaxation, computed with PBE.

Properties
The calculation puts the energy above the most stable polymorph in this dataset at 0.000 eV per atom.

Cell and atoms, written as POSCAR:
```
AlPbC3
1.0
-0.7628 -3.5923 1.7672
2.2131 -1.8775 -2.8613
3.3362 0.4240 2.3021
C Al Pb
3 1 1
Direct
0.0000 0.0000 0.5000
0.5000 0.0000 0.0000
0.0000 0.5000 0.0000
0.0000 0.0000 0.0000
0.5000 0.5000 0.5000
```



Entry 25:
Al2PbC after structural relaxation, computed with PBE.

Cell and atoms, written as POSCAR:
```
Al2PbC
1.0
5.8063 0.0000 0.0000
0.0000 5.8063 0.0000
2.9031 2.9031 4.6393
Al Pb C
4 2 2
Direct
0.3750 0.5106 0.7500
0.4894 0.1250 0.2500
0.2606 0.6250 0.2500
0.8750 0.7394 0.7500
0.0000 0.0000 0.0000
0.7500 0.2500 0.5000
0.2500 0.7500 0.5000
0.5000 0.5000 0.0000
```



Entry 26:
AlPb3C after structural relaxation, computed with PBE.

Properties
The calculation puts the energy above the most stable polymorph in this dataset at 0.000 eV per atom.

Cell and atoms, written as POSCAR:
```
AlPb3C
1.0
-4.9260 -0.5576 0.8934
-0.1626 -3.8194 -3.2803
1.0405 -3.2367 3.7170
C Pb Al
1 3 1
Direct
0.0000 0.0000 0.0000
0.0000 0.0000 0.5000
0.5000 0.0000 0.0000
0.0000 0.5000 0.0000
0.5000 0.5000 0.5000
```



| no. | calculated total energy (eV per atom) | E_form (eV/atom) |
| --- | --- | --- |
| 1 | -8.1776 | -0.1900 |
| 2 | -8.7180 | -0.3400 |
| 3 | -7.9150 | -0.4726 |
| 4 | -4.6073 | 0.9224 |
| 5 | -3.8223 | 2.0169 |
| 6 | -6.9297 | -0.0296 |
| 7 | -4.7714 | 2.5935 |
| 8 | -4.8752 | 0.2971 |
| 9 | -5.5382 | -0.0085 |
| 10 | -5.0453 | 1.8548 |
| 11 | -3.6278 | 1.5445 |
| 12 | -5.5036 | 1.8612 |
| 13 | -4.8462 | 0.9930 |
| 14 | -8.0762 | 0.5783 |
| 15 | -4.2342 | 1.5407 |
| 16 | -8.5092 | -0.2184 |
| 17 | -8.3474 | -0.1602 |
| 18 | -8.9828 | -0.1181 |
| 19 | -8.7966 | -0.3928 |
| 20 | -3.6403 | 1.4641 |
| 21 | -3.6496 | 3.3749 |
| 22 | -4.0576 | 1.0382 |
| 23 | -3.6839 | 1.4118 |
| 24 | -4.8775 | 2.1470 |
| 25 | -4.7937 | 0.3107 |
| 26 | -3.7919 | 1.0264 |